No. 1
HfAsPt2: optimized geometry, PBE.

Output
The total energy comes out at -7.227 eV per atom.

a b c (Å): 6.4831 6.4831 6.4831
angles (deg): 90.00 90.00 90.00
Last column: nearest neighbours and their distance in Å.
Space group F-43m (No. 216)
One atom of each set of equivalent atoms:
Hf  0.0000  0.0000  0.0000 x4  4 As 2.81, 4 Pt 2.81
As  0.2500  0.2500  0.7500 x4  4 Hf 2.81, 4 Pt 2.81
Pt  0.0000  0.0000  0.5000 x4  4 As 2.81, 4 Pt 2.81
Pt  0.2500  0.2500  0.2500 x4  4 Hf 2.81, 4 Pt 2.81


No. 2
NaDyHgSe3: optimized geometry, PBE.

Output
As for the distance to the lowest polymorph of the same formula: 0.004 eV per atom.

a b c (Å): 11.1143 4.1565 13.8582
angles (deg): 90.00 90.00 90.00
Last column: nearest neighbours and their distance in Å.
Space group Pnma (No. 62)
One atom of each set of equivalent atoms:
Na  0.2186  0.2500  0.0071 x4  7 Se 3.15-3.41
Dy  0.0137  0.7500  0.7422 x4  6 Se 2.89-3.12
Hg  0.2378  0.7500  0.2140 x4  4 Se 2.61-2.72
Se  0.0341  0.7500  0.1166 x4  1 Hg 2.64, 2 Dy 2.90
Se  0.0710  0.2500  0.6046 x4  1 Hg 2.61, 2 Dy 2.89
Se  0.2342  0.2500  0.3403 x4  2 Hg 2.72, 1 Dy 2.98


No. 3
ErRe: optimized geometry, PBE.

Output
The total energy comes out at -7.815 eV per atom.

a b c (Å): 3.1072 3.1072 4.7103
angles (deg): 90.00 90.00 120.00
Last column: nearest neighbours and their distance in Å.
Space group P-6m2 (No. 187)
One atom of each set of equivalent atoms:
Er  0.0000  0.0000  0.0000 x1  6 Re 2.96, 6 Er 3.11
Re  0.6667  0.3333  0.5000 x1  6 Er 2.96, 6 Re 3.11


No. 4
LuPaO3: optimized geometry, PBE.

Output
The total energy comes out at -8.121 eV per atom.

a b c (Å): 4.1671 4.1671 4.1671
angles (deg): 90.00 90.00 90.00
Last column: nearest neighbours and their distance in Å.
Space group Pm-3m (No. 221)
One atom of each set of equivalent atoms:
Lu  0.0000  0.0000  0.0000 x1  6 O 2.08
Pa  0.5000  0.5000  0.5000 x1  12 O 2.95
O  0.0000  0.0000  0.5000 x3  2 Lu 2.08


No. 5
LaNdCd: optimized geometry, PBE.

Output
The total energy comes out at -3.151 eV per atom.

a b c (Å): 7.3945 7.3945 7.3945
angles (deg): 90.00 90.00 90.00
Last column: nearest neighbours and their distance in Å.
Space group F-43m (No. 216)
One atom of each set of equivalent atoms:
La  0.0000  0.0000  0.0000 x4  4 Nd 3.20, 4 Cd 3.20
Nd  0.2500  0.2500  0.2500 x4  4 La 3.20
Cd  0.2500  0.2500  0.7500 x4  4 La 3.20


No. 6
GdMgZn: optimized geometry, PBE.

Output
The total energy comes out at -2.399 eV per atom.

a b c (Å): 4.2493 4.2493 10.0449
angles (deg): 90.00 90.00 120.00
Last column: nearest neighbours and their distance in Å.
Space group P3m1 (No. 156)
One atom of each set of equivalent atoms:
Gd  0.0000  0.0000  0.0000 x1  4 Zn 3.01-3.19, 3 Mg 3.25
Gd  0.0000  0.0000  0.3571 x1  4 Zn 3.07-3.26, 3 Mg 3.30
Mg  0.3333  0.6667  0.7874 x1  3 Zn 2.67
Mg  0.6667  0.3333  0.5766 x1  3 Zn 2.67
Zn  0.0000  0.0000  0.6822 x1  6 Mg 2.67
Zn  0.3333  0.6667  0.1738 x1  6 Gd 3.01-3.07


No. 7
BaCdIn2Pt: optimized geometry, PBE.

Output
As for the distance to the lowest polymorph of the same formula: 0.061 eV per atom.

a b c (Å): 4.9394 4.9394 11.4230
angles (deg): 90.00 90.00 90.00
Last column: nearest neighbours and their distance in Å.
Space group P4/nmm (No. 129, origin choice 2)
One atom of each set of equivalent atoms:
Ba  0.2500  0.2500  0.2275 x2  4 Pt 3.59, 9 In 3.73-3.97, 4 Cd 3.78
Cd  0.2500  0.2500  0.6463 x2  5 In 2.91-2.98
In  0.2500  0.2500  0.9011 x2  4 Pt 2.72, 1 Cd 2.91
In  0.2500  0.7500  0.5000 x2  4 Cd 2.98
Pt  0.2500  0.7500  0.0000 x2  4 In 2.72


No. 8
FeCoBAu: optimized geometry, PBE.

Output
As for the distance to the lowest polymorph of the same formula: 0.000 eV per atom.

a b c (Å): 5.7251 5.7251 5.7251
angles (deg): 90.00 90.00 90.00
Last column: nearest neighbours and their distance in Å.
Space group F-43m (No. 216)
One atom of each set of equivalent atoms:
Fe  0.0000  0.0000  0.0000 x4  4 B 2.48, 4 Co 2.48
Co  0.2500  0.2500  0.2500 x4  4 Fe 2.48, 4 Au 2.48
B  0.2500  0.2500  0.7500 x4  4 Fe 2.48, 4 Au 2.48
Au  0.0000  0.0000  0.5000 x4  4 Co 2.48, 4 B 2.48


No. 9
BPtO: optimized geometry, PBE.

Output
As for the distance to the lowest polymorph of the same formula: 0.002 eV per atom.

a b c (Å): 2.7851 4.5592 5.0776
angles (deg): 90.00 90.00 90.00
Last column: nearest neighbours and their distance in Å.
Space group Pmn2_1 (No. 31)
One atom of each set of equivalent atoms:
B  0.0000  0.1405  0.0000 x2  1 O 1.35
Pt  0.0000  0.2125  0.5936 x2  3 B 2.09-2.18, 1 O 2.30
O  0.0000  0.3734  0.1641 x2  1 B 1.35


No. 10
Cu7Ag3: optimized geometry, PBE.

Output
As for the distance to the lowest polymorph of the same formula: 0.033 eV per atom.

a b c (Å): 3.8005 3.8009 19.0060
angles (deg): 90.00 90.00 90.00
Last column: nearest neighbours and their distance in Å.
Space group Amm2 (No. 38)
One atom of each set of equivalent atoms:
Cu  0.0000  0.0000  0.0000 x2  10 Cu 2.53-2.69, 2 Ag 2.67
Cu  0.0000  0.0000  0.1862 x2  6 Cu 2.66-2.79, 6 Ag 2.69-2.80
Cu  0.0000  0.0000  0.5880 x2  10 Cu 2.53-2.69, 2 Ag 2.67
Cu  0.0000  0.0000  0.7940 x2  8 Ag 2.69-2.79, 4 Cu 2.79-2.80
Cu  0.5000  0.0000  0.0883 x2  10 Cu 2.54-2.69, 2 Ag 2.66
Cu  0.5000  0.0000  0.4998 x2  10 Cu 2.53-2.69, 2 Ag 2.66
Cu  0.5000  0.0000  0.9020 x2  6 Cu 2.66-2.80, 6 Ag 2.69-2.80
Ag  0.0000  0.0000  0.4017 x2  10 Cu 2.66-2.79, 2 Ag 2.79
Ag  0.5000  0.0000  0.2941 x2  8 Cu 2.69-2.80, 4 Ag 2.79
Ag  0.5000  0.0000  0.6864 x2  10 Cu 2.66-2.79, 2 Ag 2.79


No. 11
LiAlCoW: optimized geometry, PBE.

Output
As for the distance to the lowest polymorph of the same formula: 0.000 eV per atom.

a b c (Å): 5.8709 5.8709 5.8709
angles (deg): 90.00 90.00 90.00
Last column: nearest neighbours and their distance in Å.
Space group F-43m (No. 216)
One atom of each set of equivalent atoms:
Li  0.0000  0.0000  0.0000 x4  4 W 2.54, 4 Al 2.54
Al  0.2500  0.2500  0.2500 x4  4 Li 2.54, 4 Co 2.54
Co  0.0000  0.0000  0.5000 x4  4 W 2.54, 4 Al 2.54
W  0.2500  0.2500  0.7500 x4  4 Li 2.54, 4 Co 2.54


No. 12
CsPt3N5: optimized geometry, PBE.

Output
The total energy comes out at -5.472 eV per atom.

a b c (Å): 5.3448 5.3448 6.3142
angles (deg): 90.00 90.00 120.00
Last column: nearest neighbours and their distance in Å.
Space group P6/mmm (No. 191)
One atom of each set of equivalent atoms:
Cs  0.0000  0.0000  0.0000 x1  2 N 3.16
Pt  0.0000  0.5000  0.5000 x3  4 N 2.04
N  0.0000  0.0000  0.5000 x1  6 Pt 2.67
N  0.3333  0.6667  0.2887 x4  3 Pt 2.04


No. 13
SbIr: optimized geometry, PBE.

Output
The total energy comes out at -6.281 eV per atom.

a b c (Å): 5.9074 5.9074 5.9074
angles (deg): 90.00 90.00 90.00
Last column: nearest neighbours and their distance in Å.
Space group F-43m (No. 216)
One atom of each set of equivalent atoms:
Sb  0.0000  0.0000  0.0000 x4  4 Ir 2.56
Ir  0.2500  0.2500  0.2500 x4  4 Sb 2.56


No. 14
RbPtO3: optimized geometry, PBE.

Output
The total energy comes out at -5.150 eV per atom.

a b c (Å): 5.4506 5.4506 18.6388
angles (deg): 90.00 90.00 120.00
Last column: nearest neighbours and their distance in Å.
Space group R-3 (No. 148, hexagonal axes)
One atom of each set of equivalent atoms:
Rb  0.0000  0.0000  0.1414 x6  3 O 2.62
Pt  0.0000  0.0000  0.3341 x6  6 O 2.01
O  0.0017  0.3897  0.9411 x18  2 Pt 2.01


No. 15
Rb2FeAsCl6: optimized geometry, PBE.

Output
The total energy comes out at -3.659 eV per atom.

a b c (Å): 10.1516 10.1516 10.1516
angles (deg): 90.00 90.00 90.00
Last column: nearest neighbours and their distance in Å.
Space group Fm-3m (No. 225)
One atom of each set of equivalent atoms:
Rb  0.2500  0.2500  0.2500 x8  12 Cl 3.59
Fe  0.0000  0.0000  0.0000 x4  6 Cl 2.46
As  0.0000  0.0000  0.5000 x4  6 Cl 2.61
Cl  0.0000  0.0000  0.2425 x24  1 Fe 2.46, 1 As 2.61


No. 16
NbIBrCl3: optimized geometry, PBE.

Output
As for the distance to the lowest polymorph of the same formula: 0.003 eV per atom.

a b c (Å): 6.6790 7.2589 9.9981
angles (deg): 109.18 93.00 114.33
Last column: nearest neighbours and their distance in Å.
Space group P-1 (No. 2)
One atom of each set of equivalent atoms:
Nb  0.1029  0.2108  0.2091 x2  4 Cl 2.34-2.59, 1 Br 2.45
I  0.0850  0.8157  0.5670 x2  1 Nb 2.65
Br  0.4402  0.5639  0.3204 x2  1 Nb 2.45
Cl  0.1108  0.6375  0.8618 x2  1 Nb 2.34
Cl  0.2176  0.1640  0.9610 x2  2 Nb 2.58-2.59
Cl  0.2912  0.0125  0.2376 x2  1 Nb 2.34


No. 17
LiLuNiBi: optimized geometry, PBE.

Output
As for the distance to the lowest polymorph of the same formula: 0.256 eV per atom.

a b c (Å): 6.7922 6.7922 6.7922
angles (deg): 90.00 90.00 90.00
Last column: nearest neighbours and their distance in Å.
Space group F-43m (No. 216)
One atom of each set of equivalent atoms:
Li  0.0000  0.0000  0.0000 x4  4 Ni 2.94, 4 Lu 2.94
Lu  0.2500  0.2500  0.2500 x4  4 Li 2.94, 4 Bi 2.94
Ni  0.2500  0.2500  0.7500 x4  4 Li 2.94, 4 Bi 2.94
Bi  0.0000  0.0000  0.5000 x4  4 Ni 2.94, 4 Lu 2.94


No. 18
BeCoGe: optimized geometry, PBE.

Output
As for the distance to the lowest polymorph of the same formula: 0.070 eV per atom.

a b c (Å): 5.2251 5.2251 5.2251
angles (deg): 90.00 90.00 90.00
Last column: nearest neighbours and their distance in Å.
Space group F-43m (No. 216)
One atom of each set of equivalent atoms:
Be  0.0000  0.0000  0.0000 x4  4 Co 2.26, 4 Ge 2.26
Co  0.2500  0.2500  0.7500 x4  4 Be 2.26
Ge  0.2500  0.2500  0.2500 x4  4 Be 2.26


No. 19
ZrNpB: optimized geometry, PBE.

Output
As for the distance to the lowest polymorph of the same formula: 0.000 eV per atom.

a b c (Å): 5.9643 5.9643 5.9643
angles (deg): 90.00 90.00 90.00
Last column: nearest neighbours and their distance in Å.
Space group F-43m (No. 216)
One atom of each set of equivalent atoms:
Zr  0.0000  0.0000  0.0000 x4  4 B 2.58
Np  0.0000  0.0000  0.5000 x4  4 B 2.58
B  0.2500  0.2500  0.7500 x4  4 Zr 2.58, 4 Np 2.58


No. 20
DyCoC6N6: optimized geometry, PBE.

Output
The total energy comes out at -8.441 eV per atom.

a b c (Å): 7.3595 7.3595 12.9600
angles (deg): 90.00 90.00 120.00
Last column: nearest neighbours and their distance in Å.
Space group P6_3/mmc (No. 194)
One atom of each set of equivalent atoms:
Dy  0.3333  0.6667  0.2500 x2  6 N 2.33
Co  0.0000  0.0000  0.0000 x2  6 C 1.85
C  0.1178  0.2356  0.0833 x12  1 N 1.17
N  0.1918  0.3836  0.1367 x12  1 C 1.17